1.
# ThMg3

Crystalline ThMg3 at its relaxed geometry (PBE, Alexandria).

## Properties
E_tot = -2.93 eV/atom
energy relative to the elements = 0.12 eV per atom
calculated volume = 209.2 Å³/cell
total moment = 0.213 μB per formula unit

Cell: 5.6988 4.9728 7.3818 Å, 90.00 90.00 90.00°
Sites, in units of the cell vectors:
Th (0.2500, 0.0000, 0.1663)
Th (0.7500, 0.0000, 0.8337)
Mg (0.0000, 0.5000, 0.5000)
Mg (0.2500, 0.0000, 0.6274)
Mg (0.2500, 0.5000, 0.8743)
Mg (0.5000, 0.5000, 0.5000)
Mg (0.7500, 0.0000, 0.3726)
Mg (0.7500, 0.5000, 0.1257)

---

2.
# ThMg3

Crystalline ThMg3 at its relaxed geometry (PBE, Alexandria).

## Properties
E_tot = -2.93 eV/atom
energy relative to the elements = 0.12 eV per atom
calculated volume = 106.2 Å³/cell
total moment = 0.000 μB per formula unit

Cell: 6.5479 6.5479 6.5479 Å, 151.08 60.63 127.96°
Sites, in units of the cell vectors:
Th (0.0000, 0.0000, 0.0000)
Mg (0.1478, 0.3852, 0.7626)
Mg (0.5036, 0.0036, 0.5000)
Mg (0.6226, 0.3852, 0.2374)

---

3.
# Th2Mg

Crystalline Th2Mg at its relaxed geometry (PBE, Alexandria).

## Properties
E_tot = -5.42 eV/atom
energy relative to the elements = 0.06 eV per atom
calculated volume = 90.4 Å³/cell
energy relative to the lowest polymorph listed for this composition = 0 meV/atom
total moment = 0.000 μB per formula unit

Cell: 8.1013 8.1013 8.1013 Å, 155.64 155.64 34.72°
Sites, in units of the cell vectors:
Th (0.1639, 0.1639, 0.0000)
Th (0.8361, 0.8361, 0.0000)
Mg (0.5000, 0.5000, 0.0000)

---

4.
# Th5Mg

Crystalline Th5Mg at its relaxed geometry (PBE, Alexandria).

## Properties
E_tot = -6.38 eV/atom
energy relative to the elements = 0.07 eV per atom
calculated volume = 188.5 Å³/cell
energy relative to the lowest polymorph listed for this composition = 0 meV/atom
total moment = 0.000 μB per formula unit

Cell: 3.5084 3.5084 17.6824 Å, 90.00 90.00 120.00°
Sites, in units of the cell vectors:
Th (0.0000, 0.0000, 0.0000)
Th (0.0000, 0.0000, 0.3380)
Th (0.0000, 0.0000, 0.6620)
Th (0.3333, 0.6667, 0.1684)
Th (0.3333, 0.6667, 0.8316)
Mg (0.3333, 0.6667, 0.5000)

---

5.
# Th3Mg

Crystalline Th3Mg at its relaxed geometry (PBE, Alexandria).

## Properties
E_tot = -5.89 eV/atom
energy relative to the elements = 0.07 eV per atom
calculated volume = 122.4 Å³/cell
total moment = 0.000 μB per formula unit

Cell: 3.5092 3.5092 9.9389 Å, 90.00 90.00 90.00°
Sites, in units of the cell vectors:
Th (0.0000, 0.0000, 0.0000)
Th (0.5000, 0.5000, 0.2601)
Th (0.5000, 0.5000, 0.7399)
Mg (0.0000, 0.0000, 0.5000)

---

6.
# ThMg3

Crystalline ThMg3 at its relaxed geometry (PBE, Alexandria).

## Properties
E_tot = -2.93 eV/atom
energy relative to the elements = 0.12 eV per atom
calculated volume = 106.2 Å³/cell
total moment = 0.000 μB per formula unit

Cell: 3.2394 5.2894 6.2004 Å, 90.00 90.00 90.00°
Sites, in units of the cell vectors:
Th (0.0000, 0.0000, 0.0000)
Mg (0.0000, 0.5000, 0.6666)
Mg (0.5000, 0.0000, 0.4983)
Mg (0.5000, 0.5000, 0.1998)

---

> Among the records above, which one has the highest total moment?

number 1

---

> The lowest E_tot belongs to which entry?

Th5Mg

---

> The lowest calculated volume belongs to which entry?

Th2Mg